## NiBiF5 (PBE+U)

Data for a geometry-optimized NiBiF5 structure.

a b c (Å): 5.7102 5.7102 7.7814
angles (deg): 70.09 70.09 72.03
Sites, in units of the cell vectors:
1 Ni 0.0000 0.0000 0.0000
2 Ni 0.0000 0.0000 0.5000
3 Bi 0.5553 0.4447 0.7500
4 Bi 0.4447 0.5553 0.2500
5 F 0.2541 0.2175 0.8786
6 F 0.3129 0.7042 0.5351
7 F 0.2175 0.2541 0.3786
8 F 0.9089 0.0911 0.7500
9 F 0.2958 0.6871 0.9649
10 F 0.7042 0.3129 0.0351
11 F 0.0911 0.9089 0.2500
12 F 0.7825 0.7459 0.6214
13 F 0.6871 0.2958 0.4649
14 F 0.7459 0.7825 0.1214

Summary:
VASP energy, eV per atom: -4.571
Size of the total moment, μB per formula unit: 2.0